Record 1
The following is a DFT calculation (PBE) of an optimized crystal structure of Tb5Pm2Sc4.

## Properties
Energy: -5.07 eV per atom
Magnetization: 0.00 Bohr magnetons per cell
Relative energy among the computed polymorphs: 73 meV/atom

Lattice parameters (Å, degrees): 6.4809 6.4809 8.8802 104.00 104.00 67.53
Atoms (fractional coordinates):
Tb (0.0000, 0.0000, 0.0000)
Tb (0.2145, 0.6481, 0.7312)
Tb (0.3519, 0.7855, 0.2688)
Tb (0.6481, 0.2145, 0.7312)
Tb (0.7855, 0.3519, 0.2688)
Pm (0.1476, 0.1476, 0.6244)
Pm (0.8524, 0.8524, 0.3756)
Sc (0.3100, 0.3100, 0.0098)
Sc (0.3372, 0.3372, 0.3810)
Sc (0.6628, 0.6628, 0.6190)
Sc (0.6900, 0.6900, 0.9902)



Record 2
The following is a DFT calculation (PBE) of an optimized crystal structure of Sc2HgMo.

## Properties
Energy: -5.43 eV per atom
Magnetization: 0.00 Bohr magnetons per cell

Lattice parameters (Å, degrees): 10.1099 10.1099 10.1099 156.02 156.02 34.17
Atoms (fractional coordinates):
Sc (0.1114, 0.6250, 0.9864)
Sc (0.3750, 0.3614, 0.4864)
Sc (0.6386, 0.1250, 0.0136)
Sc (0.8750, 0.8886, 0.5136)
Hg (0.2500, 0.7500, 0.5000)
Hg (0.5000, 0.5000, 0.0000)
Mo (0.0000, 0.0000, 0.0000)
Mo (0.7500, 0.2500, 0.5000)



Record 3
The following is a DFT calculation (PBE) of an optimized crystal structure of Ta2SbMo.

## Properties
Energy: -9.40 eV per atom
Magnetization: 0.00 Bohr magnetons per cell

Lattice parameters (Å, degrees): 8.9148 8.9148 8.9148 20.63 20.63 20.63
Atoms (fractional coordinates):
Ta (0.2423, 0.2423, 0.2423)
Ta (0.7577, 0.7577, 0.7577)
Sb (0.0000, 0.0000, 0.0000)
Mo (0.5000, 0.5000, 0.5000)



Record 4
The following is a DFT calculation (PBE) of an optimized crystal structure of RbBaIn2Rh.

## Properties
Energy: -3.36 eV per atom
Magnetization: 0.00 Bohr magnetons per cell

Lattice parameters (Å, degrees): 5.3825 5.3825 5.8677 90.00 90.00 90.00
Atoms (fractional coordinates):
Rb (0.0000, 0.0000, 0.0000)
Ba (0.5000, 0.5000, 0.0000)
In (0.0000, 0.5000, 0.5000)
In (0.5000, 0.0000, 0.5000)
Rh (0.5000, 0.5000, 0.5000)